(1)
## BiBPt3 (GGA-PBE)

Data for an optimized crystal structure of BiBPt3.

```
BiBPt3
1.0
3.897 0.000 0.000
0.000 3.897 0.000
0.000 0.000 6.714
Pt B Bi
3 1 1
direct
0.000 0.000 0.725
0.000 0.500 0.428
0.500 0.000 0.428
0.500 0.500 0.567
0.000 0.000 0.116
```

Results
For the offset from the most stable computed form, the calculation gives 373 meV per atom. The value obtained for the electronic total energy is -27.9 eV per cell. As for the crystal system: tetragonal. The calculation puts the formation enthalpy at 0 K at 0.1543 eV per atom. The value obtained for the calculated volume is 101.9 Å³/cell.



(2)
## Co2TcIr (GGA-PBE)

Data for an optimized crystal structure of Co2TcIr.

```
Co2TcIr
1.0
-1.727 -1.540 1.233
0.712 -0.734 -2.414
6.514 -4.640 3.331
Tc Co Ir
1 2 1
direct
0.500 0.500 0.760
0.000 0.000 0.010
0.500 0.500 0.238
0.000 0.000 0.492
```

Results
For the offset from the most stable computed form, the calculation gives 307 meV per atom. The value obtained for the electronic total energy is -32.3 eV per cell. As for the crystal system: orthorhombic. The calculation puts the formation enthalpy at 0 K at 0.2886 eV per atom. The value obtained for the calculated volume is 53.3 Å³/cell.



(3)
## ScSi2Au (GGA-PBE)

Data for an optimized crystal structure of ScSi2Au.

```
ScSi2Au
1.0
7.268 0.000 0.000
0.000 7.268 0.000
3.634 3.634 2.795
Si Au Sc
4 2 2
direct
0.092 0.625 0.250
0.375 0.342 0.750
0.658 0.125 0.250
0.875 0.908 0.750
0.750 0.250 0.500
0.000 0.000 0.000
0.500 0.500 0.000
0.250 0.750 0.500
```

Results
The value obtained for the electronic total energy is -42.3 eV per cell. As for the crystal system: tetragonal. The value obtained for the calculated volume is 147.7 Å³/cell. The value obtained for the formation energy (no corrections) is -0.1781 eV per atom.



(4)
## Th4PC2Se (GGA-PBE)

Data for an optimized crystal structure of Th4PC2Se.

```
Th4PC2Se
1.0
-1.652 -3.503 0.509
-0.131 -0.913 -6.711
6.200 -2.562 2.496
C Se Th P
2 1 4 1
direct
0.500 0.000 0.500
0.000 0.500 0.500
0.500 0.500 0.000
0.000 0.230 0.707
0.500 0.257 0.287
0.000 0.770 0.293
0.500 0.743 0.713
0.000 0.000 0.000
```

Results
The value obtained for the electronic total energy is -65.0 eV per cell. As for the crystal system: monoclinic. The value obtained for the calculated volume is 179.8 Å³/cell. The value obtained for the formation energy (no corrections) is -0.9956 eV per atom.



(5)
## LaGdRhPb (GGA-PBE)

Data for an optimized crystal structure of LaGdRhPb.

```
LaGdRhPb
1.0
5.307 0.000 0.000
2.653 4.596 0.000
2.653 1.532 4.333
La Rh Pb Gd
1 1 1 1
direct
0.750 0.750 0.750
0.500 0.500 0.500
0.000 0.000 0.000
0.250 0.250 0.250
```

Results
The value obtained for the electronic total energy is -32.0 eV per cell. As for the crystal system: cubic. The calculation puts the formation enthalpy at 0 K at -0.4756 eV per atom. The value obtained for the calculated volume is 105.7 Å³/cell.



(6)
## Dy6Si2Te3Se (GGA-PBE)

Data for an optimized crystal structure of Dy6Si2Te3Se.

```
Dy6Si2Te3Se
1.0
-2.416 3.422 0.319
-6.186 -4.708 3.641
6.413 1.299 6.963
Dy Te Si Se
6 3 2 1
direct
0.326 0.435 0.652
0.665 0.109 0.330
0.012 0.243 0.024
0.988 0.757 0.976
0.674 0.565 0.348
0.335 0.891 0.670
0.837 0.166 0.674
0.500 0.500 0.000
0.163 0.834 0.326
0.167 0.332 0.334
0.833 0.668 0.666
0.500 0.000 0.000
```

Results
The value obtained for the electronic total energy is -66.8 eV per cell. As for the crystal system: monoclinic. The value obtained for the calculated volume is 325.0 Å³/cell. The value obtained for the formation energy (no corrections) is -1.2895 eV per atom.



(7)
## KRhOF2 (GGA-PBE)

Data for an optimized crystal structure of KRhOF2.

```
KRhOF2
1.0
-0.476 -0.004 -3.942
3.718 -6.099 -0.442
-3.359 -2.077 0.408
O F Rh K
1 2 1 1
direct
0.500 0.500 0.500
0.000 0.000 0.500
0.500 0.000 0.000
0.000 0.000 0.000
0.000 0.500 0.000
```

Results
For the offset from the most stable computed form, the calculation gives 847 meV per atom. The value obtained for the electronic total energy is -20.9 eV per cell. As for the crystal system: tetragonal. The value obtained for the calculated volume is 112.8 Å³/cell. The value obtained for the formation energy (no corrections) is -0.7454 eV per atom.



(8)
## Al4Co2Ni (GGA-PBE)

Data for an optimized crystal structure of Al4Co2Ni.

```
Al4Co2Ni
1.0
-1.783 3.480 1.032
-0.474 0.950 3.902
4.992 4.425 1.624
Al Co Ni
4 2 1
direct
0.870 0.870 0.390
0.616 0.616 0.151
0.130 0.130 0.610
0.384 0.384 0.849
0.744 0.744 0.768
0.256 0.256 0.232
0.000 0.000 0.000
```

Results
The value obtained for the electronic total energy is -38.7 eV per cell. As for the crystal system: trigonal. The calculation puts the formation enthalpy at 0 K at -0.5366 eV per atom. The value obtained for the calculated volume is 91.5 Å³/cell.



(9)
## TaSn2IrBr (GGA-PBE)

Data for an optimized crystal structure of TaSn2IrBr.

```
TaSn2IrBr
1.0
5.263 0.000 0.000
0.000 4.618 0.000
0.000 0.000 5.263
Br Sn Ir Ta
1 2 1 1
direct
0.000 0.000 0.000
0.500 0.000 0.000
0.000 0.000 0.500
0.000 0.500 0.000
0.500 0.500 0.500
```

Results
For the offset from the most stable computed form, the calculation gives 1136 meV per atom. The value obtained for the electronic total energy is -22.1 eV per cell. As for the crystal system: tetragonal. The value obtained for the calculated volume is 127.9 Å³/cell. The value obtained for the formation energy (no corrections) is 1.6673 eV per atom.



(10)
## ZnHgAs2 (GGA-PBE)

Data for an optimized crystal structure of ZnHgAs2.

```
ZnHgAs2
1.0
6.514 0.244 0.000
4.088 5.077 0.000
-5.301 -2.661 2.704
Hg As Zn
1 2 1
direct
0.250 0.750 0.500
0.000 0.000 0.000
0.500 0.500 0.000
0.750 0.250 0.500
```

Results
For the offset from the most stable computed form, the calculation gives 228 meV per atom. The value obtained for the electronic total energy is -9.6 eV per cell. As for the crystal system: tetragonal. The calculation puts the formation enthalpy at 0 K at 0.3065 eV per atom. The value obtained for the calculated volume is 86.7 Å³/cell.



Repeat the fourth record exactly.
## Th4PC2Se (GGA-PBE)

Data for an optimized crystal structure of Th4PC2Se.

```
Th4PC2Se
1.0
-1.652 -3.503 0.509
-0.131 -0.913 -6.711
6.200 -2.562 2.496
C Se Th P
2 1 4 1
direct
0.500 0.000 0.500
0.000 0.500 0.500
0.500 0.500 0.000
0.000 0.230 0.707
0.500 0.257 0.287
0.000 0.770 0.293
0.500 0.743 0.713
0.000 0.000 0.000
```

Results
The value obtained for the electronic total energy is -65.0 eV per cell. As for the crystal system: monoclinic. The value obtained for the calculated volume is 179.8 Å³/cell. The value obtained for the formation energy (no corrections) is -0.9956 eV per atom.